No. 1
A plane-wave DFT calculation with PBE-GGA was carried out for a relaxed structure of KGeAu.

Electronic total energy, eV for the cell shown: -8.32
Symmetry: No. 216

a b c (Å): 4.944 4.944 4.944
angles (deg): 60.00 60.00 60.00
Sites, in units of the cell vectors:
Au (0.000, 0.000, 0.000)
K (0.750, 0.750, 0.750)
Ge (0.250, 0.250, 0.250)

No. 2
A plane-wave DFT calculation with PBE-GGA was carried out for a relaxed structure of KGeAu.

Electronic total energy, eV for the cell shown: -6.76
Symmetry: No. 216

a b c (Å): 5.094 5.094 5.094
angles (deg): 60.00 60.00 60.00
Sites, in units of the cell vectors:
Au (0.250, 0.250, 0.250)
Ge (0.750, 0.750, 0.750)
K (0.000, 0.000, 0.000)

No. 3
A plane-wave DFT calculation with PBE-GGA was carried out for a relaxed structure of KGe5Au3.

Electronic total energy, eV for the cell shown: -32.41
Symmetry: No. 191

a b c (Å): 5.711 5.711 7.503
angles (deg): 90.00 90.00 120.00
Sites, in units of the cell vectors:
Au (0.000, 0.500, 0.500)
Au (0.500, 0.000, 0.500)
Au (0.500, 0.500, 0.500)
Ge (0.667, 0.333, 0.206)
Ge (0.333, 0.667, 0.206)
Ge (0.667, 0.333, 0.794)
Ge (0.000, 0.000, 0.500)
Ge (0.333, 0.667, 0.794)
K (0.000, 0.000, 0.000)

No. 4
A plane-wave DFT calculation with PBE-GGA was carried out for a relaxed structure of KGe3Au3.

Electronic total energy, eV for the cell shown: -51.58
Symmetry: No. 59

a b c (Å): 4.670 7.232 8.931
angles (deg): 90.00 90.00 90.00
Sites, in units of the cell vectors:
Au (0.000, 0.000, 0.071)
Au (0.500, 0.214, 0.408)
Au (0.000, 0.286, 0.592)
Au (0.000, 0.714, 0.592)
Au (0.500, 0.500, 0.929)
Au (0.500, 0.786, 0.408)
Ge (0.000, 0.000, 0.390)
Ge (0.500, 0.192, 0.116)
Ge (0.000, 0.308, 0.884)
Ge (0.000, 0.692, 0.884)
Ge (0.500, 0.500, 0.610)
Ge (0.500, 0.808, 0.116)
K (0.000, 0.500, 0.247)
K (0.500, 0.000, 0.753)

No. 5
A plane-wave DFT calculation with PBE-GGA was carried out for a relaxed structure of K2Rb2Ge2Au7.

Electronic total energy, eV for the cell shown: -40.80
ΔE to the lowest computed polymorph, meV per atom: 0
Symmetry: No. 166

a b c (Å): 10.322 10.322 10.322
angles (deg): 37.41 37.41 37.41
Sites, in units of the cell vectors:
K (0.683, 0.683, 0.683)
K (0.317, 0.317, 0.317)
Rb (0.189, 0.189, 0.189)
Rb (0.811, 0.811, 0.811)
Au (0.223, 0.223, 0.791)
Au (0.777, 0.777, 0.209)
Au (0.223, 0.791, 0.223)
Au (0.209, 0.777, 0.777)
Au (0.000, 0.000, 0.000)
Au (0.777, 0.209, 0.777)
Au (0.791, 0.223, 0.223)
Ge (0.546, 0.546, 0.546)
Ge (0.454, 0.454, 0.454)

No. 6
A plane-wave DFT calculation with PBE-GGA was carried out for a relaxed structure of K2Rb2Ge2Au7.

Electronic total energy, eV for the cell shown: -40.77
ΔE to the lowest computed polymorph, meV per atom: 2
Symmetry: No. 166

a b c (Å): 10.242 10.242 10.242
angles (deg): 37.94 37.94 37.94
Sites, in units of the cell vectors:
K (0.188, 0.188, 0.188)
K (0.812, 0.812, 0.812)
Au (0.798, 0.223, 0.223)
Au (0.202, 0.777, 0.777)
Au (0.000, 0.000, 0.000)
Au (0.223, 0.798, 0.223)
Au (0.777, 0.777, 0.202)
Au (0.777, 0.202, 0.777)
Au (0.223, 0.223, 0.798)
Rb (0.316, 0.316, 0.316)
Rb (0.684, 0.684, 0.684)
Ge (0.545, 0.545, 0.545)
Ge (0.455, 0.455, 0.455)

No. 7
A plane-wave DFT calculation with PBE-GGA was carried out for a relaxed structure of KGeAuS3.

Electronic total energy, eV for the cell shown: -46.71
ΔE to the lowest computed polymorph, meV per atom: 288
Symmetry: No. 63

a b c (Å): 8.227 8.227 9.896
angles (deg): 90.00 90.00 154.73
Sites, in units of the cell vectors:
Ge (0.000, 0.000, 0.500)
Ge (0.000, 0.000, 0.000)
S (0.042, 0.958, 0.750)
S (0.608, 0.392, 0.018)
S (0.392, 0.608, 0.518)
S (0.608, 0.392, 0.482)
S (0.958, 0.042, 0.250)
S (0.392, 0.608, 0.982)
K (0.290, 0.710, 0.250)
K (0.710, 0.290, 0.750)
Au (0.617, 0.383, 0.250)
Au (0.383, 0.617, 0.750)

No. 8
A plane-wave DFT calculation with PBE-GGA was carried out for a relaxed structure of KGeAuS3.

Electronic total energy, eV for the cell shown: -200.65
ΔE to the lowest computed polymorph, meV per atom: 0
Symmetry: No. 14

a b c (Å): 10.764 11.356 12.013
angles (deg): 90.00 119.52 90.00
Sites, in units of the cell vectors:
S (0.684, 0.000, 0.496)
S (0.709, 0.839, 0.863)
S (0.001, 0.853, 0.510)
S (0.734, 0.506, 0.705)
S (0.286, 0.668, 0.574)
S (0.020, 0.972, 0.146)
S (0.266, 0.006, 0.795)
S (0.020, 0.528, 0.646)
S (0.999, 0.147, 0.490)
S (0.316, 0.500, 0.004)
S (0.999, 0.353, 0.990)
S (0.714, 0.168, 0.926)
S (0.291, 0.339, 0.637)
S (0.980, 0.472, 0.354)
S (0.286, 0.832, 0.074)
S (0.980, 0.028, 0.854)
S (0.714, 0.332, 0.426)
S (0.709, 0.661, 0.363)
S (0.001, 0.647, 0.010)
S (0.316, 0.000, 0.504)
S (0.684, 0.500, 0.996)
S (0.734, 0.994, 0.205)
S (0.266, 0.494, 0.295)
S (0.291, 0.161, 0.137)
K (0.882, 0.734, 0.209)
K (0.410, 0.733, 0.876)
K (0.590, 0.267, 0.124)
K (0.118, 0.266, 0.791)
K (0.590, 0.233, 0.624)
K (0.410, 0.767, 0.376)
K (0.882, 0.766, 0.709)
K (0.118, 0.234, 0.291)
Au (0.488, 0.089, 0.858)
Au (0.512, 0.911, 0.142)
Au (0.488, 0.411, 0.358)
Au (0.485, 0.418, 0.819)
Au (0.515, 0.918, 0.681)
Au (0.515, 0.582, 0.181)
Au (0.512, 0.589, 0.642)
Au (0.485, 0.082, 0.319)
Ge (0.165, 0.504, 0.557)
Ge (0.165, 0.996, 0.057)
Ge (0.834, 0.999, 0.418)
Ge (0.835, 0.004, 0.943)
Ge (0.166, 0.499, 0.082)
Ge (0.834, 0.501, 0.918)
Ge (0.835, 0.496, 0.443)
Ge (0.166, 0.001, 0.582)

No. 9
A plane-wave DFT calculation with PBE-GGA was carried out for a relaxed structure of KGeAuSe2S.

Electronic total energy, eV for the cell shown: -43.74
Symmetry: No. 63

a b c (Å): 8.382 8.382 10.192
angles (deg): 90.00 90.00 154.11
Sites, in units of the cell vectors:
S (0.961, 0.039, 0.250)
S (0.039, 0.961, 0.750)
Au (0.384, 0.616, 0.750)
Au (0.616, 0.384, 0.250)
Ge (0.000, 0.000, 0.500)
Ge (0.000, 0.000, 0.000)
Se (0.387, 0.613, 0.987)
Se (0.613, 0.387, 0.487)
Se (0.613, 0.387, 0.013)
Se (0.387, 0.613, 0.513)
K (0.715, 0.285, 0.750)
K (0.285, 0.715, 0.250)

No. 10
A plane-wave DFT calculation with PBE-GGA was carried out for a relaxed structure of KGeTe2AuS.

Electronic total energy, eV for the cell shown: -41.89
Symmetry: No. 63

a b c (Å): 6.726 6.726 11.662
angles (deg): 90.00 90.00 141.73
Sites, in units of the cell vectors:
S (0.479, 0.521, 0.750)
S (0.521, 0.479, 0.250)
Ge (0.500, 0.500, 0.000)
Ge (0.500, 0.500, 0.500)
Te (0.153, 0.847, 0.970)
Te (0.847, 0.153, 0.030)
Te (0.847, 0.153, 0.470)
Te (0.153, 0.847, 0.530)
K (0.221, 0.779, 0.250)
K (0.779, 0.221, 0.750)
Au (0.940, 0.060, 0.250)
Au (0.060, 0.940, 0.750)

No. 11
A plane-wave DFT calculation with PBE-GGA was carried out for a relaxed structure of KGeTeAuS2.

Electronic total energy, eV for the cell shown: -44.66
Symmetry: No. 63

a b c (Å): 8.643 8.643 10.723
angles (deg): 90.00 90.00 155.94
Sites, in units of the cell vectors:
S (0.105, 0.895, 0.033)
S (0.895, 0.105, 0.533)
S (0.105, 0.895, 0.467)
S (0.895, 0.105, 0.967)
K (0.771, 0.229, 0.250)
K (0.229, 0.771, 0.750)
Au (0.891, 0.109, 0.750)
Au (0.109, 0.891, 0.250)
Ge (0.500, 0.500, 0.000)
Ge (0.500, 0.500, 0.500)
Te (0.554, 0.446, 0.750)
Te (0.446, 0.554, 0.250)

No. 12
A plane-wave DFT calculation with PBE-GGA was carried out for a relaxed structure of KGeTe2AuSe.

Electronic total energy, eV for the cell shown: -40.35
Symmetry: No. 63

a b c (Å): 7.953 7.953 11.346
angles (deg): 90.00 90.00 151.47
Sites, in units of the cell vectors:
Se (0.946, 0.054, 0.250)
Se (0.054, 0.946, 0.750)
K (0.740, 0.260, 0.750)
K (0.260, 0.740, 0.250)
Te (0.365, 0.635, 0.968)
Te (0.365, 0.635, 0.532)
Te (0.635, 0.365, 0.468)
Te (0.635, 0.365, 0.032)
Ge (0.000, 0.000, 0.000)
Ge (0.000, 0.000, 0.500)
Au (0.560, 0.440, 0.250)
Au (0.440, 0.560, 0.750)

What did the fourth record say?
A plane-wave DFT calculation with PBE-GGA was carried out for a relaxed structure of KGe3Au3.

Electronic total energy, eV for the cell shown: -51.58
Symmetry: No. 59

a b c (Å): 4.670 7.232 8.931
angles (deg): 90.00 90.00 90.00
Sites, in units of the cell vectors:
Au (0.000, 0.000, 0.071)
Au (0.500, 0.214, 0.408)
Au (0.000, 0.286, 0.592)
Au (0.000, 0.714, 0.592)
Au (0.500, 0.500, 0.929)
Au (0.500, 0.786, 0.408)
Ge (0.000, 0.000, 0.390)
Ge (0.500, 0.192, 0.116)
Ge (0.000, 0.308, 0.884)
Ge (0.000, 0.692, 0.884)
Ge (0.500, 0.500, 0.610)
Ge (0.500, 0.808, 0.116)
K (0.000, 0.500, 0.247)
K (0.500, 0.000, 0.753)